# GaGeCO2 (PBE-GGA, relaxed)
data_GaGeCO2
_chemical_formula_sum 'Ga1 Ge1 C1 O2'
_cell_length_a 3.520
_cell_length_b 3.520
_cell_length_c 7.842
_cell_angle_alpha 90.00
_cell_angle_beta 90.00
_cell_angle_gamma 90.00
_space_group_name_H-M_alt 'P 4/m m m'
_space_group_IT_number 123
_space_group_name_Hall '-P 4 2'
loop_
_atom_site_label
_atom_site_fract_x
_atom_site_fract_y
_atom_site_fract_z
_atom_site_occupancy
Ga1 0.000 0.000 0.000 1
Ge1 0.000 0.000 0.500 1
C1 0.500 0.500 0.500 1
O1 0.000 0.500 0.000 1
# Formation energy from raw total energies: 696 meV/atom



# GaGe2PtC (PBE-GGA, relaxed)
data_GaGe2PtC
_chemical_formula_sum 'Ga1 Ge2 Pt1 C1'
_cell_length_a 5.210
_cell_length_b 5.210
_cell_length_c 3.759
_cell_angle_alpha 90.00
_cell_angle_beta 90.00
_cell_angle_gamma 90.00
_space_group_name_H-M_alt 'P 4/m m m'
_space_group_IT_number 123
_space_group_name_Hall '-P 4 2'
loop_
_atom_site_label
_atom_site_fract_x
_atom_site_fract_y
_atom_site_fract_z
_atom_site_occupancy
Ga1 0.000 0.000 0.000 1
Ge1 0.000 0.500 0.500 1
Pt1 0.500 0.500 0.500 1
C1 0.500 0.500 0.000 1
# Relative energy among the computed polymorphs: 0 meV per atom



# GaGe2PtC (PBE-GGA, relaxed)
data_GaGe2PtC
_chemical_formula_sum 'Ga1 Ge2 Pt1 C1'
_cell_length_a 4.904
_cell_length_b 4.904
_cell_length_c 4.688
_cell_angle_alpha 90.00
_cell_angle_beta 90.00
_cell_angle_gamma 90.00
_space_group_name_H-M_alt 'P 4/m m m'
_space_group_IT_number 123
_space_group_name_Hall '-P 4 2'
loop_
_atom_site_label
_atom_site_fract_x
_atom_site_fract_y
_atom_site_fract_z
_atom_site_occupancy
Ga1 0.000 0.000 0.000 1
Ge1 0.000 0.500 0.000 1
Pt1 0.000 0.000 0.500 1
C1 0.500 0.500 0.500 1
# Relative energy among the computed polymorphs: 1109 meV per atom



# GaGePt2C (PBE-GGA, relaxed)
data_GaGePt2C
_chemical_formula_sum 'Ga1 Ge1 Pt2 C1'
_cell_length_a 4.671
_cell_length_b 4.671
_cell_length_c 4.918
_cell_angle_alpha 90.00
_cell_angle_beta 90.00
_cell_angle_gamma 90.00
_space_group_name_H-M_alt 'P 4/m m m'
_space_group_IT_number 123
_space_group_name_Hall '-P 4 2'
loop_
_atom_site_label
_atom_site_fract_x
_atom_site_fract_y
_atom_site_fract_z
_atom_site_occupancy
Ga1 0.000 0.000 0.000 1
Ge1 0.000 0.000 0.500 1
Pt1 0.000 0.500 0.500 1
C1 0.500 0.500 0.000 1
# Raw total energy: -0.2968 Ry per atom



# GaH6C2SeI3 (PBE-GGA, relaxed)
data_GaH6C2SeI3
_chemical_formula_sum 'Ga4 H24 C8 Se4 I12'
_cell_length_a 8.043
_cell_length_b 13.636
_cell_length_c 13.611
_cell_angle_alpha 90.00
_cell_angle_beta 116.35
_cell_angle_gamma 90.00
_space_group_name_H-M_alt 'P 1 21/c 1'
_space_group_IT_number 14
_space_group_name_Hall '-P 2ybc'
loop_
_atom_site_label
_atom_site_fract_x
_atom_site_fract_y
_atom_site_fract_z
_atom_site_occupancy
Ga1 0.204 0.200 0.349 1
H1 0.066 0.607 0.835 1
H2 0.138 0.728 0.894 1
H3 0.238 0.623 0.304 1
H4 0.239 0.624 0.171 1
H5 0.305 0.643 0.885 1
H6 0.412 0.692 0.283 1
C1 0.161 0.669 0.847 1
C2 0.269 0.666 0.246 1
Se1 0.107 0.718 0.701 1
I1 0.164 0.092 0.186 1
I2 0.257 0.104 0.522 1
I3 0.425 0.155 0.883 1
# Raw total energy: -0.3025 Ry per atom



# GaH13C4N2 (PBE-GGA, relaxed)
data_GaH13C4N2
_chemical_formula_sum 'Ga2 H26 C8 N4'
_cell_length_a 6.459
_cell_length_b 7.291
_cell_length_c 8.970
_cell_angle_alpha 82.21
_cell_angle_beta 73.80
_cell_angle_gamma 76.62
_space_group_name_H-M_alt 'P -1'
_space_group_IT_number 2
_space_group_name_Hall '-P 1'
loop_
_atom_site_label
_atom_site_fract_x
_atom_site_fract_y
_atom_site_fract_z
_atom_site_occupancy
Ga1 0.045 0.092 0.122 1
H1 0.090 0.248 0.381 1
H2 0.137 0.831 0.482 1
H3 0.164 0.589 0.555 1
H4 0.184 0.232 0.674 1
H5 0.189 0.547 0.066 1
H6 0.207 0.370 0.817 1
H7 0.215 0.655 0.225 1
H8 0.291 0.082 0.119 1
H9 0.344 0.127 0.809 1
H10 0.350 0.725 0.031 1
H11 0.452 0.789 0.778 1
H12 0.461 0.852 0.579 1
H13 0.484 0.611 0.652 1
C1 0.090 0.736 0.589 1
C2 0.193 0.228 0.796 1
C3 0.200 0.681 0.104 1
C4 0.398 0.757 0.681 1
N1 0.003 0.829 0.094 1
N2 0.162 0.776 0.718 1
# Raw total energy: -0.3791 Ry per atom



The calculation returns the following calculated volume values, one per record and in order: 97.2 102.0 112.7 107.3 1337.7 393.5 Å³ per cell.